LiYHf2N4 | PBE | relaxed

```
data_LiYHf2N4
_cell_length_a 3.239
_cell_length_b 10.617
_cell_length_c 10.961
_cell_angle_alpha 90.00
_cell_angle_beta 90.00
_cell_angle_gamma 90.00
_symmetry_space_group_name_H-M 'C m c m'
_symmetry_Int_Tables_number 63
_symmetry_space_group_name_Hall '-C 2c 2'
loop_
_atom_site_label
_atom_site_type_symbol
_atom_site_fract_x
_atom_site_fract_y
_atom_site_fract_z
_atom_site_occupancy
Li1 Li 0.000 0.157 0.250 1
Y1 Y 0.000 0.107 0.750 1
Hf1 Hf 0.000 0.367 0.559 1
N1 N 0.000 0.000 0.000 1
N2 N 0.000 0.264 0.112 1
N3 N 0.000 0.447 0.750 1
```



Fe5Si4 | PBE | relaxed

```
data_Fe5Si4
_cell_length_a 7.496
_cell_length_b 7.496
_cell_length_c 3.661
_cell_angle_alpha 90.00
_cell_angle_beta 90.00
_cell_angle_gamma 90.00
_symmetry_space_group_name_H-M 'I 4/m m m'
_symmetry_Int_Tables_number 139
_symmetry_space_group_name_Hall '-I 4 2'
loop_
_atom_site_label
_atom_site_type_symbol
_atom_site_fract_x
_atom_site_fract_y
_atom_site_fract_z
_atom_site_occupancy
Fe1 Fe 0.000 0.000 0.000 1
Fe2 Fe 0.170 0.170 0.500 1
Si1 Si 0.000 0.306 0.000 1
```

Values from the calculation:
Relative energy among the computed polymorphs (meV per atom): 112



| no. | D(E_F) (states/eV per cell) | ΔE_f (raw) (eV per formula unit) |
| --- | --- | --- |
| 1 | 0.46 | -12.5 |
| 2 | 14.63 | -1.5 |